A plane-wave DFT calculation with PBEsol was carried out for a geometry-optimized Co2PbCl structure.

The uncorrected formation energy is 0.359 eV/atom.

a b c (Å): 3.0970 3.9030 5.9731
angles (deg): 90.00 90.00 90.00
Fractional positions:
Pb 0.5000 0.0000 0.0000
Co 0.0000 0.5000 0.8117
Co 0.0000 0.5000 0.1883
Cl 0.5000 0.5000 0.5000